1.
A relaxed ScNbCoSe crystal. Source: Alexandria via LeMat-Bulk, functional PBE.

Unit cell a=3.6958 b=5.3565 c=5.3565 alpha=38.17 beta=90.00 gamma=90.00
Fractional positions:
Sc (0.0000, 0.0000, 0.0000)
Nb (0.5000, 0.6926, 0.6926)
Co (0.5000, 0.4314, 0.4314)
Se (0.0000, 0.2775, 0.2775)

2.
A relaxed ScNbCoSe crystal. Source: Alexandria via LeMat-Bulk, functional PBE.

Unit cell a=5.1823 b=5.1823 c=4.2364 alpha=96.08 beta=96.08 gamma=36.14
Fractional positions:
Sc (0.0000, 0.0000, 0.0000)
Nb (0.7159, 0.7159, 0.5672)
Co (0.4621, 0.4621, 0.4880)
Se (0.2737, 0.2737, 0.0728)

no.,formation energy (no corrections) (meV per atom),excess energy over the best structure of this formula in the dataset (eV per atom)
1,-441.2,0.075
2,-419.2,0.097